{
  "formula": "Tl3ZnHg4",
  "functional": "PBE-GGA",
  "state": "relaxed",
  "crystal_system": "tetragonal",
  "lattice": [[3.571, 0.000, 0.000], [0.000, 3.571, 0.000], [0.000, 0.000, 16.865]],
  "species": ["Tl", "Tl", "Tl", "Zn", "Hg", "Hg", "Hg", "Hg"],
  "frac_coords": [[0.000, 0.000, 0.000], [0.000, 0.000, 0.268], [0.000, 0.000, 0.732], [0.000, 0.000, 0.500], [0.500, 0.500, 0.133], [0.500, 0.500, 0.402], [0.500, 0.500, 0.598], [0.500, 0.500, 0.867]]
}


{
  "formula": "TlZnHg2",
  "functional": "PBE-GGA",
  "state": "relaxed",
  "crystal_system": "tetragonal",
  "lattice": [[-2.301, 2.301, 4.831], [2.301, -2.301, 4.831], [2.301, 2.301, -4.831]],
  "species": ["Tl", "Zn", "Hg", "Hg"],
  "frac_coords": [[0.000, 0.000, 0.000], [0.500, 0.500, 0.000], [0.250, 0.750, 0.500], [0.750, 0.250, 0.500]]
}


E readings, ordered: -9.37, -3.86 eV/cell